No. 1
Rb2CaTeO6 after structural relaxation. Source: Alexandria, functional PBE-GGA.

Cell lengths 8.651, 8.651, 8.651 Å; angles 90.00, 90.00, 90.00 degrees
Space group Fm-3m (No. 225)
Asymmetric unit:
Rb (0.250, 0.250, 0.250) [8 per cell]
Ca (0.000, 0.000, 0.000) [4 per cell]
Te (0.000, 0.000, 0.500) [4 per cell]
O (0.000, 0.000, 0.275) [24 per cell]

## Properties
- Formation energy without anion corrections: -1.50 eV per atom

No. 2
Zn3PdPt after structural relaxation. Source: Alexandria, functional PBE-GGA.

Cell lengths 8.015, 14.008, 5.633 Å; angles 90.00, 90.00, 90.00 degrees
Space group Cccm (No. 66)
Asymmetric unit:
Zn (0.001, 0.183, 0.000) [8 per cell]
Zn (0.221, 0.406, 0.000) [8 per cell]
Zn (0.226, 0.408, 0.500) [8 per cell]
Pd (0.250, 0.250, 0.251) [8 per cell]
Pt (0.000, 0.000, 0.250) [4 per cell]
Pt (0.000, 0.500, 0.250) [4 per cell]

## Properties
- Formation energy from the elements: -0.39 eV per atom
- Relative energy among the computed polymorphs: 0.365 eV/f.u.

No. 3
Tl2TcAs after structural relaxation. Source: Alexandria, functional PBE-GGA.

Cell lengths 3.855, 5.070, 4.871 Å; angles 90.00, 94.85, 90.00 degrees
Space group P2/m (No. 10)
Asymmetric unit:
Tl (0.217, 0.000, 0.261) [2 per cell]
Tc (0.500, 0.500, 0.500) [1 per cell]
As (0.500, 0.500, 0.000) [1 per cell]

## Properties
- Formation energy from the elements: 0.60 eV per atom
- Relative energy among the computed polymorphs: 1.938 eV/f.u.

No. 4
K2MgGeAu6 after structural relaxation. Source: Alexandria, functional PBE-GGA.

Cell lengths 7.032, 7.042, 7.228 Å; angles 61.39, 61.29, 60.30 degrees
Space group P-1 (No. 2)
Asymmetric unit:
K (0.206, 0.205, 0.383) [2 per cell]
Mg (0.500, 0.500, 0.500) [1 per cell]
Ge (0.000, 0.000, 0.000) [1 per cell]
Au (0.246, 0.245, 0.863) [2 per cell]
Au (0.246, 0.644, 0.864) [2 per cell]
Au (0.356, 0.755, 0.135) [2 per cell]

## Properties
- Formation energy from the elements: -0.28 eV per atom

No. 5
Mn2HgS after structural relaxation. Source: Alexandria, functional PBE-GGA.

Cell lengths 5.859, 5.859, 11.294 Å; angles 90.00, 90.00, 90.00 degrees
Space group I-42d (No. 122)
Asymmetric unit:
Mn (0.184, 0.250, 0.125) [8 per cell]
Hg (0.000, 0.000, 0.500) [4 per cell]
S (0.000, 0.000, 0.000) [4 per cell]

## Properties
- Formation energy without anion corrections: 0.23 eV per atom
- Relative energy among the computed polymorphs: 0.000 eV/f.u.

No. 6
Li2Zn2Au after structural relaxation. Source: Alexandria, functional PBE-GGA.

Cell lengths 3.599, 3.599, 12.774 Å; angles 90.00, 90.00, 90.00 degrees
Space group I4/mmm (No. 139)
Asymmetric unit:
Li (0.000, 0.500, 0.250) [4 per cell]
Zn (0.000, 0.000, 0.099) [4 per cell]
Au (0.000, 0.000, 0.500) [2 per cell]

## Properties
- Formation energy from the elements: -0.06 eV per atom
- Relative energy among the computed polymorphs: 1.567 eV/f.u.

No. 7
ScHRh3 after structural relaxation. Source: Alexandria, functional PBE-GGA.

Cell lengths 5.7494, 5.7494, 4.5210 Å; angles 90.00, 90.00, 120.00 degrees
Space group P-3m1 (No. 164)
Asymmetric unit:
Sc (0.3333, 0.6667, 0.2466) [2 per cell]
H (0.3333, 0.6667, 0.7405) [2 per cell]
Rh (0.1559, 0.3117, 0.7501) [6 per cell]

## Properties
- Relative energy among the computed polymorphs: 0.138 eV/f.u.

No. 8
ThMgTi after structural relaxation. Source: Alexandria, functional PBE-GGA.

Cell lengths 3.320, 3.330, 13.355 Å; angles 90.01, 90.04, 90.08 degrees
Space group P1 (No. 1)
Asymmetric unit:
Th (0.000, 0.000, 0.000) [1 per cell]
Th (0.499, 0.500, 0.547) [1 per cell]
Mg (0.499, 0.500, 0.194) [1 per cell]
Mg (0.999, 0.000, 0.353) [1 per cell]
Ti (0.000, 0.999, 0.714) [1 per cell]
Ti (0.500, 0.499, 0.833) [1 per cell]

## Properties
- Formation energy from the elements: 0.10 eV per atom